[1]
A plane-wave DFT calculation with GGA-PBE was carried out for a geometry-optimized MgZr3Rh2 structure.

Calculated values
Spin magnetization   0.00 Bohr magnetons per cell
Crystal system   orthorhombic
Formation energy   -384 meV per atom

a = 6.389 Å, b = 6.590 Å, c = 7.812 Å
α = 114.95°, β = 114.14°, γ = 90.00°
Sites, in units of the cell vectors:
Mg1 0.000 0.000 0.000
Rh1 0.842 0.140 0.281
Rh2 0.439 0.640 0.281
Rh3 0.561 0.360 0.719
Zr1 0.772 0.522 0.543
Rh4 0.158 0.860 0.719
Mg2 0.000 0.500 0.000
Zr2 0.500 0.250 0.000
Zr3 0.772 0.022 0.543
Zr4 0.228 0.978 0.457
Zr5 0.500 0.750 0.000
Zr6 0.228 0.478 0.457


[2]
A plane-wave DFT calculation with GGA-PBE was carried out for a geometry-optimized MgZr4Rh structure.

Calculated values
Spin magnetization   0.00 Bohr magnetons per cell
Crystal system   orthorhombic
Formation energy   -225 meV per atom

a = 4.700 Å, b = 4.734 Å, c = 12.157 Å
α = 67.10°, β = 90.00°, γ = 90.00°
Sites, in units of the cell vectors:
Zr1 0.000 0.658 0.342
Mg1 0.000 0.000 0.500
Zr2 0.500 0.842 0.158
Zr3 0.000 0.338 0.161
Zr4 0.000 0.342 0.658
Zr5 0.500 0.838 0.661
Rh1 0.500 0.500 0.500
Mg2 0.500 0.500 0.000
Zr6 0.000 0.662 0.839
Zr7 0.500 0.162 0.339
Rh2 0.000 0.000 0.000
Zr8 0.500 0.158 0.842


[3]
A plane-wave DFT calculation with GGA-PBE was carried out for a geometry-optimized Mg2ZrRh3 structure.

Calculated values
Spin magnetization   0.00 Bohr magnetons per cell
Crystal system   tetragonal
Formation energy   -689 meV per atom

a = 3.227 Å, b = 3.227 Å, c = 9.338 Å
α = 90.00°, β = 90.00°, γ = 90.00°
Sites, in units of the cell vectors:
Mg1 0.500 0.500 0.156
Mg2 0.500 0.500 0.844
Rh1 0.000 0.000 0.000
Rh2 0.000 0.000 0.668
Zr1 0.500 0.500 0.500
Rh3 0.000 0.000 0.332


[4]
A plane-wave DFT calculation with GGA-PBE was carried out for a geometry-optimized MgZrRh3 structure.

Calculated values
Spin magnetization   0.00 Bohr magnetons per cell
Crystal system   cubic
Formation energy   328 meV per atom

a = 4.454 Å, b = 4.454 Å, c = 4.454 Å
α = 90.00°, β = 90.00°, γ = 90.00°
Sites, in units of the cell vectors:
Mg1 0.000 0.000 0.000
Rh1 0.500 0.000 0.000
Rh2 0.000 0.000 0.500
Zr1 0.500 0.500 0.500
Rh3 0.000 0.500 0.000


[5]
A plane-wave DFT calculation with GGA-PBE was carried out for a geometry-optimized MgZrRh structure.

Calculated values
Spin magnetization   0.00 Bohr magnetons per cell
Crystal system   trigonal
Formation energy   -242 meV per atom

a = 3.252 Å, b = 3.252 Å, c = 6.551 Å
α = 90.00°, β = 90.00°, γ = 120.00°
Sites, in units of the cell vectors:
Mg1 0.000 0.000 0.031
Rh1 0.667 0.333 0.343
Zr1 0.333 0.667 0.626


[6]
A plane-wave DFT calculation with GGA-PBE was carried out for a geometry-optimized MgZrRh4 structure.

Calculated values
Spin magnetization   0.00 Bohr magnetons per cell
Crystal system   monoclinic
Formation energy   -371 meV per atom

a = 3.722 Å, b = 4.965 Å, c = 6.414 Å
α = 106.23°, β = 73.13°, γ = 67.99°
Sites, in units of the cell vectors:
Rh1 0.323 0.015 0.339
Zr1 0.000 0.000 0.000
Rh2 0.842 0.493 0.823
Rh3 0.677 0.985 0.661
Rh4 0.158 0.507 0.177
Mg1 0.500 0.500 0.500


[7]
A plane-wave DFT calculation with GGA-PBE was carried out for a geometry-optimized MgZr5Rh6 structure.

Calculated values
Spin magnetization   0.00 Bohr magnetons per cell
Crystal system   monoclinic
Formation energy   -765 meV per atom

a = 4.691 Å, b = 8.092 Å, c = 8.092 Å
α = 121.40°, β = 106.86°, γ = 106.86°
Sites, in units of the cell vectors:
Rh1 0.757 0.256 0.256
Zr1 0.500 0.161 0.839
Zr2 0.000 0.667 0.333
Zr3 0.000 0.333 0.667
Rh2 0.253 0.084 0.422
Rh3 0.747 0.578 0.916
Rh4 0.747 0.916 0.578
Zr4 0.500 0.839 0.161
Rh5 0.253 0.422 0.084
Mg1 0.000 0.000 0.000
Zr5 0.500 0.500 0.500
Rh6 0.243 0.744 0.744


[8]
A plane-wave DFT calculation with GGA-PBE was carried out for a geometry-optimized MgZrRh structure.

Calculated values
Spin magnetization   0.00 Bohr magnetons per cell
Crystal system   cubic
Formation energy   265 meV per atom

a = 4.520 Å, b = 4.520 Å, c = 4.520 Å
α = 60.00°, β = 60.00°, γ = 60.00°
Sites, in units of the cell vectors:
Zr1 0.250 0.250 0.250
Mg1 0.000 0.000 0.000
Rh1 0.500 0.500 0.500


[9]
A plane-wave DFT calculation with GGA-PBE was carried out for a geometry-optimized MgZr6Rh structure.

Calculated values
Spin magnetization   0.00 Bohr magnetons per cell
Crystal system   monoclinic
Formation energy   190 meV per atom

a = 6.279 Å, b = 6.279 Å, c = 6.646 Å
α = 105.55°, β = 105.55°, γ = 123.15°
Sites, in units of the cell vectors:
Zr1 0.280 0.280 0.732
Zr2 0.506 0.065 0.241
Zr3 0.720 0.720 0.268
Mg1 0.000 0.000 0.000
Zr4 0.065 0.506 0.241
Zr5 0.935 0.494 0.759
Zr6 0.494 0.935 0.759
Rh1 0.500 0.500 0.500


[10]
A plane-wave DFT calculation with GGA-PBE was carried out for a geometry-optimized MgZrRh structure.

Calculated values
Spin magnetization   0.36 Bohr magnetons per cell
Crystal system   tetragonal
Formation energy   -439 meV per atom

a = 5.924 Å, b = 5.924 Å, c = 3.213 Å
α = 74.26°, β = 74.27°, γ = 31.47°
Sites, in units of the cell vectors:
Mg1 0.979 0.979 0.021
Rh1 0.333 0.333 0.667
Zr1 0.689 0.689 0.311


[11]
A plane-wave DFT calculation with GGA-PBE was carried out for a geometry-optimized MgZrRh3 structure.

Calculated values
Spin magnetization   0.00 Bohr magnetons per cell
Crystal system   cubic
Formation energy   532 meV per atom

a = 4.802 Å, b = 4.802 Å, c = 4.802 Å
α = 90.00°, β = 90.00°, γ = 90.00°
Sites, in units of the cell vectors:
Rh1 0.000 0.500 0.000
Rh2 0.500 0.000 0.000
Rh3 0.000 0.000 0.500
Zr1 0.000 0.000 0.000
Mg1 0.500 0.500 0.500


[12]
A plane-wave DFT calculation with GGA-PBE was carried out for a geometry-optimized MgZr4Rh structure.

Calculated values
Spin magnetization   0.00 Bohr magnetons per cell
Crystal system   tetragonal
Formation energy   -278 meV per atom

a = 3.319 Å, b = 3.319 Å, c = 11.601 Å
α = 90.00°, β = 90.00°, γ = 90.00°
Sites, in units of the cell vectors:
Zr1 0.000 0.000 0.359
Mg1 0.000 0.000 0.000
Zr2 0.500 0.500 0.182
Rh1 0.500 0.500 0.500
Zr3 0.000 0.000 0.641
Zr4 0.500 0.500 0.818


[13]
A plane-wave DFT calculation with GGA-PBE was carried out for a geometry-optimized Mg2ZrRh3 structure.

Calculated values
Spin magnetization   0.00 Bohr magnetons per cell
Crystal system   trigonal
Formation energy   -722 meV per atom

a = 4.510 Å, b = 4.510 Å, c = 10.967 Å
α = 90.00°, β = 90.00°, γ = 120.00°
Sites, in units of the cell vectors:
Zr1 0.333 0.667 0.671
Rh1 0.000 0.000 0.752
Rh2 0.333 0.667 0.416
Rh3 0.667 0.333 0.584
Rh4 0.667 0.333 0.085
Zr2 0.667 0.333 0.329
Mg1 0.000 0.000 0.500
Rh5 0.333 0.667 0.915
Rh6 0.000 0.000 0.248
Mg2 0.667 0.333 0.842
Mg3 0.000 0.000 0.000
Mg4 0.333 0.667 0.158


[14]
A plane-wave DFT calculation with GGA-PBE was carried out for a geometry-optimized MgZr2Rh3 structure.

Calculated values
Spin magnetization   0.00 Bohr magnetons per cell
Crystal system   orthorhombic
Formation energy   -768 meV per atom

a = 3.368 Å, b = 4.517 Å, c = 7.138 Å
α = 108.44°, β = 90.00°, γ = 90.00°
Sites, in units of the cell vectors:
Zr1 0.000 0.661 0.321
Rh1 0.500 0.829 0.658
Mg1 0.000 0.000 0.000
Zr2 0.000 0.339 0.679
Rh2 0.500 0.500 0.000
Rh3 0.500 0.171 0.342


[15]
A plane-wave DFT calculation with GGA-PBE was carried out for a geometry-optimized Mg3ZrRh3 structure.

Calculated values
Spin magnetization   0.00 Bohr magnetons per cell
Crystal system   orthorhombic
Formation energy   -558 meV per atom

a = 6.343 Å, b = 6.343 Å, c = 6.217 Å
α = 90.00°, β = 90.00°, γ = 89.53°
Sites, in units of the cell vectors:
Rh1 0.500 0.000 0.253
Mg1 0.742 0.742 0.500
Mg2 0.255 0.745 0.500
Mg3 0.745 0.255 0.500
Mg4 0.743 0.257 0.000
Rh2 0.000 0.000 0.743
Zr1 0.238 0.238 0.000
Zr2 0.762 0.762 0.000
Rh3 0.000 0.000 0.257
Rh4 0.500 0.000 0.747
Rh5 0.000 0.500 0.747
Mg5 0.258 0.258 0.500
Mg6 0.257 0.743 0.000
Rh6 0.000 0.500 0.253


[16]
A plane-wave DFT calculation with GGA-PBE was carried out for a geometry-optimized MgZrRh structure.

Calculated values
Spin magnetization   0.00 Bohr magnetons per cell
Crystal system   cubic
Formation energy   -330 meV per atom

a = 4.473 Å, b = 4.473 Å, c = 4.473 Å
α = 60.00°, β = 60.00°, γ = 60.00°
Sites, in units of the cell vectors:
Mg1 0.500 0.500 0.500
Rh1 0.250 0.250 0.250
Zr1 0.000 0.000 0.000


[17]
A plane-wave DFT calculation with GGA-PBE was carried out for a geometry-optimized MgZr2Rh3 structure.

Calculated values
Spin magnetization   0.00 Bohr magnetons per cell
Crystal system   tetragonal
Formation energy   -775 meV per atom

a = 3.314 Å, b = 3.314 Å, c = 9.433 Å
α = 90.00°, β = 90.00°, γ = 90.00°
Sites, in units of the cell vectors:
Rh1 0.000 0.000 0.669
Rh2 0.000 0.000 0.331
Mg1 0.500 0.500 0.500
Zr1 0.500 0.500 0.824
Zr2 0.500 0.500 0.176
Rh3 0.000 0.000 0.000


[18]
A plane-wave DFT calculation with GGA-PBE was carried out for a geometry-optimized MgZr5Rh structure.

Calculated values
Spin magnetization   0.00 Bohr magnetons per cell
Crystal system   monoclinic
Formation energy   -85 meV per atom

a = 5.426 Å, b = 5.426 Å, c = 10.741 Å
α = 80.06°, β = 80.06°, γ = 87.61°
Sites, in units of the cell vectors:
Zr1 0.500 0.221 0.065
Rh1 0.000 0.000 0.500
Zr2 0.098 0.445 0.874
Zr3 0.500 0.779 0.935
Zr4 0.555 0.902 0.626
Rh2 0.000 0.000 0.000
Zr5 0.972 0.028 0.250
Zr6 0.028 0.972 0.750
Zr7 0.445 0.098 0.374
Zr8 0.779 0.500 0.435
Zr9 0.902 0.555 0.126
Mg1 0.629 0.371 0.750
Zr10 0.221 0.500 0.565
Mg2 0.371 0.629 0.250


[19]
A plane-wave DFT calculation with GGA-PBE was carried out for a geometry-optimized Mg2Zr3Rh3 structure.

Calculated values
Spin magnetization   0.00 Bohr magnetons per cell
Crystal system   hexagonal
Formation energy   -614 meV per atom

a = 5.440 Å, b = 7.903 Å, c = 7.903 Å
α = 120.00°, β = 90.00°, γ = 90.00°
Sites, in units of the cell vectors:
Rh1 0.250 0.608 0.608
Zr1 0.750 0.248 0.000
Mg1 0.000 0.667 0.333
Rh2 0.750 0.608 0.000
Mg2 0.000 0.333 0.667
Zr2 0.250 0.752 0.000
Rh3 0.250 0.000 0.392
Mg3 0.500 0.667 0.333
Rh4 0.750 0.392 0.392
Mg4 0.500 0.333 0.667
Rh5 0.250 0.392 0.000
Zr3 0.250 0.248 0.248
Zr4 0.250 0.000 0.752
Zr5 0.750 0.000 0.248
Zr6 0.750 0.752 0.752
Rh6 0.750 0.000 0.608


[20]
A plane-wave DFT calculation with GGA-PBE was carried out for a geometry-optimized MgZr4Rh structure.

Calculated values
Spin magnetization   0.00 Bohr magnetons per cell
Crystal system   cubic
Formation energy   304 meV per atom

a = 5.685 Å, b = 5.685 Å, c = 5.685 Å
α = 60.00°, β = 60.00°, γ = 60.00°
Sites, in units of the cell vectors:
Zr1 0.374 0.374 0.374
Rh1 0.000 0.000 0.000
Zr2 0.374 0.374 0.878
Zr3 0.374 0.878 0.374
Zr4 0.878 0.374 0.374
Mg1 0.750 0.750 0.750